Entry from the Alexandria database: a geometry-optimized Tb8CuPd2 structure (PBE).

a b c (Å): 5.9639 7.7499 7.7499
angles (deg): 114.40 100.26 100.26
Positions (direct):
Tb: 0.9859 0.7857 0.2137
Tb: 0.9859 0.2137 0.7857
Tb: 0.5849 0.0882 0.3430
Tb: 0.3690 0.9173 0.6613
Tb: 0.5849 0.3430 0.0882
Tb: 0.1694 0.3682 0.3682
Tb: 0.8051 0.6401 0.6401
Tb: 0.3690 0.6613 0.9173
Pd: 0.4904 0.6981 0.3132
Pd: 0.4904 0.3132 0.6981
Cu: 0.1648 0.0051 0.0051

The value obtained for the theoretical density is 8.34 g cm⁻³. As for the space-group type: Cm. Its electronic total energy is -4.905 eV per atom. As for the formation energy: -2.44 eV/f.u. The calculation puts the magnetization at 0.0 μB per cell. The value obtained for the energy relative to the lowest polymorph listed for this composition is 1.26 eV/f.u. The value obtained for the density of states at the Fermi level is 15.04 states/eV/f.u.